The following is a PBE calculation of a relaxed structure of KY3Cd, from Alexandria via LeMat-Bulk.

SG: Pm-3m, No. 221
Calculated volume in Å³ per cell: 201
Raw total energy in eV per cell: -19.21
E_form in meV per atom: 438

Cell: 5.855 5.855 5.855 Å, 90.00 90.00 90.00°
Last column: magnetic moment on the atom in μB.
Fractional positions:
Y 0.500 0.000 0.000  0.29
K 0.500 0.500 0.500  0.02
Cd 0.000 0.000 0.000  0.03
Y 0.000 0.500 0.000  0.20
Y 0.000 0.000 0.500  0.16